Record 1
Y2Si2Te | PBE-GGA | optimized geometry

Unit cell a=7.9626 b=7.9626 c=4.0145 alpha=90.00 beta=90.00 gamma=90.00
Fractional positions:
1 Te 0.0000 0.0000 0.0000
2 Te 0.5000 0.5000 0.0000
3 Si 0.3969 0.1031 0.5000
4 Si 0.8969 0.3969 0.5000
5 Si 0.1031 0.6031 0.5000
6 Si 0.6031 0.8969 0.5000
7 Y 0.3202 0.8202 0.0000
8 Y 0.1798 0.3202 0.0000
9 Y 0.6798 0.1798 0.0000
10 Y 0.8202 0.6798 0.0000

## Properties
The value obtained for the total DFT energy (no corrections) is -6.068 eV/atom. Its symmetry is P4/mbm (127).

---

Record 2
YSi2Te | PBE-GGA | optimized geometry

Unit cell a=3.8912 b=3.8912 c=5.8897 alpha=90.00 beta=90.00 gamma=90.00
Fractional positions:
1 Si 0.0000 0.0000 0.0433
2 Si 0.5000 0.5000 0.2067
3 Te 0.0000 0.0000 0.5078
4 Y 0.5000 0.5000 0.7422

## Properties
The value obtained for the total DFT energy (no corrections) is -5.314 eV/atom. Its symmetry is P4mm (99).

---

Record 3
YSi2Te | PBE-GGA | optimized geometry

Unit cell a=4.7933 b=4.7933 c=3.8306 alpha=90.00 beta=90.00 gamma=89.96
Fractional positions:
1 Si 0.5000 0.5000 0.0000
2 Si 0.0000 0.0000 0.0000
3 Y 0.0000 0.5000 0.5000
4 Te 0.5000 0.0000 0.5000

## Properties
The value obtained for the total DFT energy (no corrections) is -5.220 eV/atom. Its symmetry is P4/mmm (123).

---

Record 4
YSi2Te | PBE-GGA | optimized geometry

Unit cell a=3.3811 b=3.3811 c=8.7543 alpha=90.00 beta=90.00 gamma=102.62
Fractional positions:
1 Si 0.0000 0.0000 0.0182
2 Si 0.5000 0.5000 0.1561
3 Te 0.0000 0.0000 0.5363
4 Y 0.5000 0.5000 0.7895

## Properties
The value obtained for the total DFT energy (no corrections) is -5.246 eV/atom. Its symmetry is Cmm2 (35).

---

Record 5
Y5SiTe5 | PBE-GGA | optimized geometry

Unit cell a=6.1111 b=7.5032 c=8.6104 alpha=107.02 beta=90.00 gamma=114.03
Fractional positions:
1 Y 0.8449 0.6898 0.6839
2 Y 0.1551 0.3102 0.3161
3 Y 0.1559 0.3118 0.8413
4 Y 0.8441 0.6882 0.1587
5 Y 0.5000 0.0000 0.0000
6 Te 0.3278 0.6556 0.6640
7 Te 0.3359 0.6719 0.1751
8 Te 0.6722 0.3444 0.3360
9 Te 0.0000 0.0000 0.5000
10 Te 0.6641 0.3281 0.8249
11 Si 0.0000 0.0000 0.0000

## Properties
The value obtained for the total DFT energy (no corrections) is -6.190 eV/atom. Its symmetry is C2/m (12).

---

Record 6
YSi2Te | PBE-GGA | optimized geometry

Unit cell a=5.8852 b=5.8852 c=5.8852 alpha=138.56 beta=138.56 gamma=60.05
Fractional positions:
1 Si 0.0000 0.0000 0.0000
2 Si 0.2500 0.7500 0.5000
3 Y 0.7500 0.2500 0.5000
4 Te 0.5000 0.5000 0.0000

## Properties
The value obtained for the total DFT energy (no corrections) is -5.240 eV/atom. Its symmetry is I-4m2 (119).

---

Record 7
Y4Si2Te | PBE-GGA | optimized geometry

Unit cell a=8.6577 b=8.6577 c=8.6584 alpha=119.96 beta=119.94 gamma=90.08
Fractional positions:
1 Te 0.0002 0.0003 0.0000
2 Te 0.2498 0.7498 0.5000
3 Si 0.6250 0.3750 0.7500
4 Si 0.1250 0.3750 0.7500
5 Si 0.6250 0.3750 0.2500
6 Si 0.6250 0.8750 0.2500
7 Y 0.8551 0.1441 0.7110
8 Y 0.8560 0.5672 0.7112
9 Y 0.8169 0.6059 0.2110
10 Y 0.3939 0.6051 0.2111
11 Y 0.3949 0.6059 0.7890
12 Y 0.3940 0.1828 0.7889
13 Y 0.4330 0.1441 0.2890
14 Y 0.8561 0.1448 0.2888

## Properties
The value obtained for the total DFT energy (no corrections) is -6.403 eV/atom. Its symmetry is Imma (74).

---

Record 8
YSi2Te | PBE-GGA | optimized geometry

Unit cell a=3.8940 b=4.2264 c=6.0688 alpha=72.23 beta=90.00 gamma=90.00
Fractional positions:
1 Y 0.5000 0.7500 0.7500
2 Si 0.0000 0.1135 0.9479
3 Si 0.0000 0.3865 0.5521
4 Te 0.5000 0.2500 0.2500

## Properties
The value obtained for the total DFT energy (no corrections) is -5.330 eV/atom. Its symmetry is P2/m (10).

---

Record 9
YSiTe | PBE-GGA | optimized geometry

Unit cell a=4.8412 b=4.8412 c=3.6497 alpha=90.00 beta=90.00 gamma=120.00
Fractional positions:
1 Si 0.0000 0.0000 0.1663
2 Y 0.3333 0.6667 0.6670
3 Te 0.6667 0.3333 0.1667

## Properties
The value obtained for the total DFT energy (no corrections) is -5.271 eV/atom. Its symmetry is P-6m2 (187).

---

Record 10
Y4SiTe3 | PBE-GGA | optimized geometry

Unit cell a=4.2773 b=7.5195 c=7.5195 alpha=108.99 beta=90.00 gamma=90.00
Fractional positions:
1 Te 0.5000 0.5000 0.5000
2 Te 0.0000 0.0000 0.5000
3 Te 0.0000 0.5000 0.0000
4 Y 0.5000 0.7686 0.2314
5 Y 0.0000 0.2211 0.2211
6 Y 0.5000 0.2314 0.7686
7 Y 0.0000 0.7789 0.7789
8 Si 0.5000 0.0000 0.0000

## Properties
The value obtained for the total DFT energy (no corrections) is -6.362 eV/atom. Its symmetry is Cmmm (65).

---

Record 11
YSi2Te | PBE-GGA | optimized geometry

Unit cell a=5.0714 b=5.0714 c=5.0714 alpha=60.00 beta=60.00 gamma=60.00
Fractional positions:
1 Si 0.0000 0.0000 0.0000
2 Si 0.2500 0.2500 0.2500
3 Y 0.7500 0.7500 0.7500
4 Te 0.5000 0.5000 0.5000

## Properties
The value obtained for the total DFT energy (no corrections) is -5.031 eV/atom. Its symmetry is F-43m (216).

---

Record 12
YSiTe | PBE-GGA | optimized geometry

Unit cell a=4.9606 b=4.9606 c=4.9606 alpha=60.00 beta=60.00 gamma=60.00
Fractional positions:
1 Te 0.7500 0.7500 0.7500
2 Y 0.0000 0.0000 0.0000
3 Si 0.5000 0.5000 0.5000

## Properties
The value obtained for the total DFT energy (no corrections) is -5.059 eV/atom. Its symmetry is F-43m (216).

---

Record 13
Y3SiTe | PBE-GGA | optimized geometry

Unit cell a=5.3641 b=5.3641 c=5.3641 alpha=90.00 beta=90.00 gamma=90.00
Fractional positions:
1 Y 0.5000 0.0000 0.0000
2 Y 0.0000 0.0000 0.5000
3 Y 0.0000 0.5000 0.0000
4 Te 0.5000 0.5000 0.5000
5 Si 0.0000 0.0000 0.0000

## Properties
The value obtained for the total DFT energy (no corrections) is -6.000 eV/atom. Its symmetry is Pm-3m (221).

---

Record 14
Y3SiTe | PBE-GGA | optimized geometry

Unit cell a=6.1521 b=9.2768 c=11.4937 alpha=126.20 beta=90.00 gamma=90.00
Fractional positions:
1 Y 0.7500 0.4505 0.8498
2 Y 0.2500 0.0495 0.6502
3 Y 0.2500 0.8343 0.0553
4 Y 0.5000 0.7500 0.7500
5 Y 0.0000 0.2500 0.2500
6 Y 0.2500 0.3343 0.5553
7 Y 0.2500 0.5495 0.1502
8 Y 0.7500 0.1657 0.9447
9 Y 0.5000 0.2500 0.2500
10 Y 0.7500 0.9505 0.3498
11 Y 0.0000 0.7500 0.7500
12 Y 0.7500 0.6657 0.4447
13 Si 0.2500 0.4628 0.8458
14 Si 0.7500 0.0372 0.6542
15 Si 0.2500 0.9628 0.3458
16 Si 0.7500 0.5372 0.1542
17 Te 0.7500 0.3834 0.5388
18 Te 0.2500 0.6166 0.4612
19 Te 0.7500 0.8834 0.0388
20 Te 0.2500 0.1166 0.9612

## Properties
The value obtained for the total DFT energy (no corrections) is -6.322 eV/atom. Its symmetry is Cmcm (63).

---

Record 15
YSi2Te | PBE-GGA | optimized geometry

Unit cell a=5.6200 b=5.6200 c=5.3792 alpha=62.97 beta=62.97 gamma=38.90
Fractional positions:
1 Te 0.7500 0.7500 0.7500
2 Si 0.4976 0.4976 0.3965
3 Si 0.0024 0.0024 0.1035
4 Y 0.2500 0.2500 0.2500

## Properties
The value obtained for the total DFT energy (no corrections) is -5.361 eV/atom. Its symmetry is C2/m (12).

---

Record 16
YSi2Te | PBE-GGA | optimized geometry

Unit cell a=5.8333 b=5.8333 c=5.8333 alpha=138.22 beta=137.66 gamma=61.00
Fractional positions:
1 Te 0.7500 0.2500 0.5000
2 Y 0.2500 0.7500 0.5000
3 Si 0.0005 0.0005 0.0000
4 Si 0.4995 0.4995 0.0000

## Properties
The value obtained for the total DFT energy (no corrections) is -5.257 eV/atom. Its symmetry is Immm (71).

---

Record 17
YSiTe | PBE-GGA | optimized geometry

Unit cell a=3.7666 b=3.7666 c=6.3174 alpha=90.00 beta=90.00 gamma=120.00
Fractional positions:
1 Y 0.3333 0.6667 0.6750
2 Si 0.0000 0.0000 0.0079
3 Te 0.6667 0.3333 0.3172

## Properties
The value obtained for the total DFT energy (no corrections) is -5.151 eV/atom. Its symmetry is P3m1 (156).

---

Record 18
Y5Si2Te2 | PBE-GGA | optimized geometry

Unit cell a=7.7901 b=7.8242 c=8.5557 alpha=90.00 beta=62.92 gamma=90.00
Fractional positions:
1 Y 0.0403 0.6657 0.2488
2 Y 0.7891 0.8343 0.7512
3 Y 0.9597 0.3343 0.7512
4 Y 0.7109 0.3343 0.2488
5 Y 0.5000 0.5000 0.0000
6 Y 0.0000 0.0000 0.0000
7 Y 0.5403 0.8343 0.2488
8 Y 0.2109 0.1657 0.2488
9 Y 0.2891 0.6657 0.7512
10 Y 0.4597 0.1657 0.7512
11 Te 0.7054 0.5000 0.5892
12 Te 0.2946 0.5000 0.4108
13 Te 0.2054 0.0000 0.5892
14 Te 0.7946 0.0000 0.4108
15 Si 0.1336 0.3682 0.0000
16 Si 0.3664 0.8682 0.0000
17 Si 0.6336 0.1318 0.0000
18 Si 0.8664 0.6318 0.0000

## Properties
The value obtained for the total DFT energy (no corrections) is -6.528 eV/atom. Its symmetry is Cmce (64).

---

Record 19
YSi2Te | PBE-GGA | optimized geometry

Unit cell a=7.7120 b=7.7120 c=7.7120 alpha=29.13 beta=29.13 gamma=29.13
Fractional positions:
1 Te 0.2500 0.2500 0.2500
2 Y 0.7500 0.7500 0.7500
3 Si 0.5046 0.5046 0.5046
4 Si 0.9954 0.9954 0.9954

## Properties
The value obtained for the total DFT energy (no corrections) is -5.008 eV/atom. Its symmetry is R-3m (166).

---

Record 20
Y2Si2Te | PBE-GGA | optimized geometry

Unit cell a=3.8059 b=3.8059 c=8.5523 alpha=77.14 beta=77.14 gamma=90.00
Fractional positions:
1 Y 0.3872 0.3872 0.2255
2 Y 0.6128 0.6128 0.7745
3 Te 0.0000 0.0000 0.0000
4 Si 0.2500 0.7500 0.5000
5 Si 0.7500 0.2500 0.5000

## Properties
The value obtained for the total DFT energy (no corrections) is -6.171 eV/atom. Its symmetry is I4/mmm (139).

---

Record 21
YSi2Te | PBE-GGA | optimized geometry

Unit cell a=3.9756 b=4.2047 c=6.1225 alpha=67.30 beta=90.00 gamma=90.00
Fractional positions:
1 Si 0.5000 0.1459 0.1991
2 Si 0.0000 0.0915 0.0069
3 Te 0.0000 0.4483 0.5398
4 Y 0.5000 0.8143 0.7542

## Properties
The value obtained for the total DFT energy (no corrections) is -5.482 eV/atom. Its symmetry is Pm (6).

---

Record 22
YSiTe | PBE-GGA | optimized geometry

Unit cell a=5.6691 b=5.6608 c=5.6608 alpha=139.62 beta=139.66 gamma=58.37
Fractional positions:
1 Si 0.0388 0.0380 0.0008
2 Y 0.6464 0.6468 0.9997
3 Te 0.3148 0.3152 0.9995

## Properties
The value obtained for the total DFT energy (no corrections) is -5.543 eV/atom. Its symmetry is Cm (8).

---

Record 23
Y5SiTe4 | PBE-GGA | optimized geometry

Unit cell a=6.0842 b=7.5155 c=7.5155 alpha=80.57 beta=66.12 gamma=66.12
Fractional positions:
1 Y 0.9056 0.3662 0.8247
2 Y 0.7303 0.1753 0.3662
3 Y 0.0965 0.6338 0.1753
4 Y 0.2718 0.8247 0.6338
5 Y 0.5010 0.0000 0.0000
6 Te 0.4096 0.3981 0.7848
7 Te 0.5925 0.6019 0.2152
8 Te 0.1944 0.2152 0.3981
9 Te 0.8077 0.7848 0.6019
10 Si 0.0010 0.0000 0.0000

## Properties
The value obtained for the total DFT energy (no corrections) is -6.317 eV/atom. Its symmetry is I4/m (87).

---

Record 24
YSiTe | PBE-GGA | optimized geometry

Unit cell a=5.0058 b=5.0058 c=5.0058 alpha=60.00 beta=60.00 gamma=60.00
Fractional positions:
1 Si 0.0000 0.0000 0.0000
2 Te 0.5000 0.5000 0.5000
3 Y 0.7500 0.7500 0.7500

## Properties
The value obtained for the total DFT energy (no corrections) is -5.167 eV/atom. Its symmetry is F-43m (216).

---

Record 25
Y6SiTe5 | PBE-GGA | optimized geometry

Unit cell a=7.5178 b=7.5178 c=7.5170 alpha=99.57 beta=99.57 gamma=119.92
Fractional positions:
1 Y 0.2229 0.2229 0.7646
2 Y 0.6210 0.9247 0.7714
3 Y 0.0753 0.3790 0.2286
4 Y 0.9247 0.6210 0.7714
5 Y 0.3790 0.0753 0.2286
6 Y 0.7771 0.7771 0.2354
7 Si 0.0000 0.0000 0.0000
8 Te 0.1759 0.8241 0.5000
9 Te 0.3354 0.6646 0.0000
10 Te 0.8241 0.1759 0.5000
11 Te 0.6646 0.3354 0.0000
12 Te 0.5000 0.5000 0.5000

## Properties
The value obtained for the total DFT energy (no corrections) is -6.307 eV/atom. Its symmetry is C2/m (12).

---

Record 26
YSi3Te | PBE-GGA | optimized geometry

Unit cell a=5.1090 b=5.1090 c=5.1090 alpha=90.00 beta=90.00 gamma=90.00
Fractional positions:
1 Y 0.5000 0.5000 0.5000
2 Si 0.5000 0.0000 0.0000
3 Si 0.0000 0.5000 0.0000
4 Si 0.0000 0.0000 0.5000
5 Te 0.0000 0.0000 0.0000

## Properties
The value obtained for the total DFT energy (no corrections) is -4.267 eV/atom. Its symmetry is Pm-3m (221).

---

Quick rundown of V, same order as above: 127 89 88 98 342 88 230 95 74 229 92 86 154 132 93 88 78 232 96 118 94 75 287 89 347 133 Å³/f.u.
Quick rundown of formation energy (no corrections), same order as above: -0.68 -0.20 -0.11 -0.13 -1.33 -0.13 -0.71 -0.22 -0.26 -1.27 0.08 -0.05 -0.41 -0.73 -0.25 -0.14 -0.14 -1.03 0.11 -0.79 -0.37 -0.53 -1.29 -0.16 -1.31 0.91 eV per atom
Quick rundown of ρ, same order as above: 4718 5077 5145 4636 5399 5124 3900 4761 5483 5566 4909 4705 4544 5300 4843 5140 5233 5407 4710 5106 4796 5381 5681 4579 5735 3745 kg/m³